Cs6Au2SeF | PBE | optimized geometry

- Space group: P2_1/c, No. 14
- DOS(E_F): 0.51 states/eV per atom

a b c (Å): 8.5686 9.1457 14.9405
angles (deg): 90.00 123.23 90.00
With the nearest neighbours (Å) after each atom.
Fractional coordinates of all 20 atoms:
Cs  0.1168  0.2027  0.4394  1 F 3.20, 1 Se 3.43
Cs  0.1168  0.2973  0.9394  1 F 3.20, 1 Se 3.43
Cs  0.2343  0.6828  0.4418  1 F 3.08
Cs  0.2343  0.8172  0.9418  1 F 3.08
Cs  0.3505  0.0386  0.2347  1 F 3.15, 1 Se 3.45
Cs  0.3505  0.4614  0.7347  1 F 3.15, 1 Se 3.45
Cs  0.6495  0.5386  0.2653  1 F 3.15, 1 Se 3.45
Cs  0.6495  0.9614  0.7653  1 F 3.15, 1 Se 3.45
Cs  0.7657  0.1828  0.0582  1 F 3.08
Cs  0.7657  0.3172  0.5582  1 F 3.08
Cs  0.8832  0.7027  0.0606  1 F 3.20, 1 Se 3.43
Cs  0.8832  0.7973  0.5606  1 F 3.20, 1 Se 3.43
Au  0.2125  0.0825  0.7448  6 Cs 3.69-3.95
Au  0.2125  0.4175  0.2448  6 Cs 3.69-3.95
Au  0.7875  0.5825  0.7552  6 Cs 3.69-3.95
Au  0.7875  0.9175  0.2552  6 Cs 3.69-3.95
Se  0.5000  0.0000  0.5000  6 Cs 3.43-3.49
Se  0.5000  0.5000  0.0000  6 Cs 3.43-3.49
F  0.0000  0.0000  0.0000  6 Cs 3.08-3.20
F  0.0000  0.5000  0.5000  6 Cs 3.08-3.20


LiTc2Ru | PBE | optimized geometry

- Space group: R-3m, No. 166
- DOS(E_F): 1.53 states/eV per atom
- DFT formation energy: 222 meV/atom

a b c (Å): 9.2355 9.2355 9.2355
angles (deg): 16.98 16.98 16.98
With the nearest neighbours (Å) after each atom.
Fractional coordinates of all 4 atoms:
Li  0.0000  0.0000  0.0000  6 Li 2.73, 6 Tc 2.87
Tc  0.2454  0.2454  0.2454  3 Ru 2.66, 6 Tc 2.73, 3 Li 2.87
Tc  0.7546  0.7546  0.7546  3 Ru 2.66, 6 Tc 2.73, 3 Li 2.87
Ru  0.5000  0.5000  0.5000  6 Tc 2.66, 6 Ru 2.73


ZnH2Os2 | PBE | optimized geometry

- Space group: I4/mmm, No. 139
- DOS(E_F): 0.73 states/eV per atom

a b c (Å): 5.4830 5.4830 5.4830
angles (deg): 147.09 147.09 47.23
With the nearest neighbours (Å) after each atom.
Fractional coordinates of all 5 atoms:
Zn  0.0000  0.0000  0.0000  8 Os 2.64
H  0.2500  0.7500  0.5000  4 Os 1.88
H  0.7500  0.2500  0.5000  4 Os 1.88
Os  0.3550  0.3550  0.0000  4 H 1.88
Os  0.6450  0.6450  0.0000  4 H 1.88


LiHoCd2 | PBE | optimized geometry

- Space group: P4/mmm, No. 123
- DOS(E_F): 0.55 states/eV per atom
- DFT formation energy: -227 meV/atom

a b c (Å): 5.2434 5.2434 3.4450
angles (deg): 90.00 90.00 90.00
With the nearest neighbours (Å) after each atom.
Fractional coordinates of all 4 atoms:
Li  0.0000  0.0000  0.0000  8 Cd 3.14, 2 Li 3.44
Ho  0.5000  0.5000  0.0000  8 Cd 3.14, 2 Ho 3.44
Cd  0.0000  0.5000  0.5000  4 Li 3.14, 4 Ho 3.14, 2 Cd 3.44
Cd  0.5000  0.0000  0.5000  4 Li 3.14, 4 Ho 3.14, 2 Cd 3.44


AcHgAs2 | PBE | optimized geometry

- Space group: P4/mmm, No. 123
- DOS(E_F): 0.72 states/eV per atom
- DFT formation energy: -580 meV/atom

a b c (Å): 4.2840 4.2840 6.9297
angles (deg): 90.00 90.00 90.00
With the nearest neighbours (Å) after each atom.
Fractional coordinates of all 4 atoms:
Ac  0.0000  0.0000  0.0000  8 As 3.27, 2 Hg 3.46
Hg  0.0000  0.0000  0.5000  2 Ac 3.46, 8 As 3.76
As  0.5000  0.5000  0.1775  1 As 2.46
As  0.5000  0.5000  0.8225  1 As 2.46


Te2PdPb2Cl2O6 | PBE | optimized geometry

- Space group: P2_1/c, No. 14

a b c (Å): 8.2687 5.5670 13.2613
angles (deg): 90.00 122.34 90.00
With the nearest neighbours (Å) after each atom.
Fractional coordinates of all 26 atoms:
Te  0.2199  0.0182  0.4864  3 O 1.90-1.94
Te  0.2199  0.4818  0.9864  3 O 1.90-1.94
Te  0.7801  0.5182  0.0136  3 O 1.90-1.94
Te  0.7801  0.9818  0.5136  3 O 1.90-1.94
Pd  0.5000  0.0000  0.0000  2 O 2.03
Pd  0.5000  0.5000  0.5000  2 O 2.03
Pb  0.1478  0.0426  0.1926  4 O 2.39-2.68
Pb  0.1478  0.4574  0.6926  4 O 2.39-2.68
Pb  0.8522  0.5426  0.3074  4 O 2.39-2.68
Pb  0.8522  0.9574  0.8074  4 O 2.39-2.68
Cl  0.4656  0.6127  0.3209  1 Pd 2.32
Cl  0.4656  0.8873  0.8209  1 Pd 2.32
Cl  0.5344  0.1127  0.1791  1 Pd 2.32
Cl  0.5344  0.3873  0.6791  1 Pd 2.32
O  0.0428  0.2494  0.9759  1 Te 1.90
O  0.0428  0.2506  0.4759  1 Te 1.90
O  0.0648  0.6359  0.8352  1 Te 1.91
O  0.0648  0.8641  0.3352  1 Te 1.91
O  0.3312  0.2094  0.4167  1 Te 1.94, 1 Pd 2.03
O  0.3312  0.2906  0.9167  1 Te 1.94, 1 Pd 2.03
O  0.6688  0.7094  0.0833  1 Te 1.94, 1 Pd 2.03
O  0.6688  0.7906  0.5833  1 Te 1.94, 1 Pd 2.03
O  0.9352  0.1359  0.6648  1 Te 1.91
O  0.9352  0.3641  0.1648  1 Te 1.91
O  0.9572  0.7494  0.5241  1 Te 1.90
O  0.9572  0.7506  0.0241  1 Te 1.90


Number 1: E -52.7 eV/cell. Number 2: E -31.0 eV/cell. Number 3: E -28.0 eV/cell. Number 4: E -9.2 eV/cell. Number 5: E -16.0 eV/cell. Number 6: E -131.3 eV/cell.